1.
# ScSnHg

A relaxed ScSnHg crystal (PBE, the Open Quantum Materials Database).

The value obtained for the total magnetic moment is 0.0 μB per formula unit. The crystal system is cubic.

The space group is F-43m (No. 216) and the conventional cell measures 6.8262, 6.8262 and 6.8262 Å, with angles of 90.00, 90.00 and 90.00 degrees. The inequivalent atoms are Sc at (0.0000, 0.0000, 0.0000), Sn at (0.2500, 0.2500, 0.2500) and Hg at (0.2500, 0.2500, 0.7500).

***

2.
# CsKAgAs

A relaxed CsKAgAs crystal (PBE, the Open Quantum Materials Database).

The energy above the most stable polymorph in this dataset comes out at 0.015 eV/atom. The crystal system is orthorhombic.

The space group is Amm2 (No. 38) and the conventional cell measures 6.3318, 10.7469 and 8.1666 Å, with angles of 90.00, 90.00 and 90.00 degrees. The inequivalent atoms are Cs at (0.0000, 0.1730, 0.0000), K at (0.5000, 0.1690, 0.7068), Ag at (0.2512, 0.0000, 0.3647), As at (0.0000, 0.0000, 0.6118) and As at (0.5000, 0.0000, 0.1172).

***

The VASP energy results, record by record, are as follows: -3.74; -2.72 eV per atom.